Here is HfReNi2Ru at its PBEsol-relaxed geometry from Alexandria. Energies are from meta-GGA SCAN.

Lattice parameters (Å, degrees): 4.331 4.331 4.917 90.00 90.00 90.00
Fractional coordinates of all 5 atoms:
Ni1 0.000 0.500 0.000
Ni2 0.500 0.000 0.000
Ru1 0.500 0.500 0.500
Re1 0.000 0.000 0.000
Hf1 0.000 0.000 0.500

Calculated values
The space group is P4/mmm. As for the formation energy: 696 kJ/mol of formula units.


Here is YSi2 at its PBEsol-relaxed geometry from Alexandria. Energies are from meta-GGA SCAN.

Lattice parameters (Å, degrees): 3.859 4.081 4.081 120.00 90.00 90.00
Fractional coordinates of all 3 atoms:
Si1 0.000 0.667 0.333
Si2 0.000 0.333 0.667
Y1 0.500 0.000 0.000

Calculated values
The space group is P6/mmm. The energy relative to the elements, uncorrected is -0.52 eV per atom.


Here is MgAlCd at its PBEsol-relaxed geometry from Alexandria. Energies are from meta-GGA SCAN.

Lattice parameters (Å, degrees): 3.032 3.032 6.752 102.98 102.98 90.00
Fractional coordinates of all 3 atoms:
Al1 0.000 0.000 0.000
Cd1 0.664 0.664 0.327
Mg1 0.336 0.336 0.673

Calculated values
The space group is I4mm. As for the formation energy: -2 kJ/mol of formula units.


Here is Ca2AsAu at its PBEsol-relaxed geometry from Alexandria. Energies are from meta-GGA SCAN.

Lattice parameters (Å, degrees): 4.044 4.345 5.811 90.00 110.36 90.00
Fractional coordinates of all 4 atoms:
As1 0.457 0.500 0.914
Ca1 0.736 0.500 0.471
Ca2 0.014 0.000 0.027
Au1 0.294 0.000 0.587

Calculated values
The space group is Amm2. As for the formation energy: -431 kJ/mol of formula units.


DFT total energy, respectively: -193.7, -49.4, -43.2, -113.1 eV for the cell shown.
D(E_F), respectively: 3.87, 1.75, 0.98, 1.00 states/eV/f.u..